[1]
The following is a DFT calculation (PBE-GGA) of PmCuPPd after structural relaxation.

final energy: -5.353 eV/atom
size of the total moment: 0.0 μB/f.u.
DFT formation energy: -0.491 eV/atom

```
data_PmCuPPd
_space_group_name_H-M_alt 'F -4 3 m'
_space_group_IT_number 216
_space_group_name_Hall 'F -4 2 3'
_cell_length_a 6.581
_cell_length_b 6.581
_cell_length_c 6.581
_cell_angle_alpha 90.00
_cell_angle_beta 90.00
_cell_angle_gamma 90.00
loop_
_atom_site_label
_atom_site_fract_x
_atom_site_fract_y
_atom_site_fract_z
_atom_site_occupancy
Pm1 0.000 0.000 0.000 1
Cu1 0.250 0.250 0.250 1
P1 0.250 0.250 0.750 1
Pd1 0.000 0.000 0.500 1
```

=====

[2]
The following is a DFT calculation (PBE-GGA) of Pm2CuP4Pd3 after structural relaxation.

final energy: -5.935 eV/atom
size of the total moment: 0.0 μB/f.u.
DFT formation energy: -0.853 eV/atom

```
data_Pm2CuP4Pd3
_space_group_name_H-M_alt 'P -4 m 2'
_space_group_IT_number 115
_cell_length_a 4.272
_cell_length_b 4.272
_cell_length_c 9.538
_cell_angle_alpha 90.00
_cell_angle_beta 90.00
_cell_angle_gamma 90.00
loop_
_space_group_symop_operation_xyz
'x,y,z'
'y,-x,-z'
'-x,-y,z'
'-y,x,-z'
'-x,y,z'
'-y,-x,-z'
'x,-y,z'
'y,x,-z'
loop_
_atom_site_label
_atom_site_fract_x
_atom_site_fract_y
_atom_site_fract_z
_atom_site_occupancy
Pm1 0.000 0.500 0.246 1
Cu1 0.000 0.000 0.500 1
P1 0.000 0.000 0.000 1
P2 0.000 0.500 0.630 1
P3 0.500 0.500 0.000 1
Pd1 0.000 0.500 0.882 1
Pd2 0.500 0.500 0.500 1
```